Below is a relaxed HfCu2WC crystal, with properties calculated at the GGA-PBE level.

Geometry as POSCAR:
```
HfCu2WC
1.0
4.634 0.000 0.000
0.000 4.011 0.000
0.000 0.000 4.634
Cu C W Hf
2 1 1 1
direct
0.500 0.000 0.000 Cu
0.000 0.000 0.500 Cu
0.000 0.500 0.000 C
0.500 0.500 0.500 W
0.000 0.000 0.000 Hf
```

Output
DFT total energy ... -6.013 eV per atom


Below is a relaxed K2RbMgAs crystal, with properties calculated at the GGA-PBE level.

Geometry as POSCAR:
```
K2RbMgAs
1.0
-5.978 3.068 -0.638
-1.018 -3.200 -5.855
-2.281 -3.917 2.537
Rb K As Mg
1 2 1 1
direct
0.500 0.500 0.500 Rb
0.000 0.500 0.000 K
0.500 0.000 0.000 K
0.000 0.000 0.000 As
0.000 0.000 0.500 Mg
```

Output
DFT total energy ... -2.023 eV per atom


Below is a relaxed K2MgSn3Pt4 crystal, with properties calculated at the GGA-PBE level.

Geometry as POSCAR:
```
K2MgSn3Pt4
1.0
-2.551 -3.377 2.004
2.491 -3.239 -2.288
7.024 -0.418 8.239
Sn Pt Mg K
3 4 1 2
direct
0.000 0.000 0.500 Sn
0.000 0.500 0.124 Sn
0.500 0.000 0.876 Sn
0.500 0.000 0.627 Pt
0.500 0.500 0.000 Pt
0.000 0.500 0.373 Pt
0.000 0.000 0.000 Pt
0.500 0.500 0.500 Mg
0.500 0.000 0.245 K
0.000 0.500 0.755 K
```

Output
DFT total energy ... -4.506 eV per atom


Below is a relaxed Cs3CaTh2Te6 crystal, with properties calculated at the GGA-PBE level.

Geometry as POSCAR:
```
Cs3CaTh2Te6
1.0
-3.853 3.534 6.099
-4.100 -4.375 -5.345
3.904 -7.048 4.787
Th Te Cs Ca
2 6 3 1
direct
0.333 0.667 0.000 Th
0.667 0.333 0.000 Th
0.405 0.065 0.195 Te
0.275 0.275 0.805 Te
0.725 0.725 0.195 Te
0.935 0.595 0.805 Te
0.065 0.405 0.195 Te
0.595 0.935 0.805 Te
0.500 0.500 0.500 Cs
0.165 0.835 0.500 Cs
0.835 0.165 0.500 Cs
0.000 0.000 0.000 Ca
```

Output
Formation energy from raw total energies ... -1.283 eV/atom


Below is a relaxed La2PuH4 crystal, with properties calculated at the GGA-PBE level.

Geometry as POSCAR:
```
La2PuH4
1.0
-0.772 0.346 4.094
-4.103 0.157 -0.787
-2.782 -6.319 2.144
La H Pu
2 4 1
direct
0.348 0.348 0.304 La
0.652 0.652 0.696 La
0.500 0.000 0.000 H
0.831 0.831 0.338 H
0.000 0.500 0.000 H
0.169 0.169 0.662 H
0.000 0.000 0.000 Pu
```

Output
DFT total energy ... -5.590 eV per atom


Below is a relaxed Be2BIr2 crystal, with properties calculated at the GGA-PBE level.

Geometry as POSCAR:
```
Be2BIr2
1.0
5.659 0.000 0.000
0.000 5.659 0.000
0.000 0.000 3.530
Ir Be B
4 4 2
direct
0.833 0.667 0.000 Ir
0.333 0.833 0.000 Ir
0.667 0.167 0.000 Ir
0.167 0.333 0.000 Ir
0.859 0.359 0.500 Be
0.141 0.641 0.500 Be
0.359 0.141 0.500 Be
0.641 0.859 0.500 Be
0.000 0.000 0.000 B
0.500 0.500 0.000 B
```

Output
Polymorph energy (0 for the lowest one) ... 0.00 kJ per mole of atoms


Below is a relaxed Li3ReC crystal, with properties calculated at the GGA-PBE level.

Geometry as POSCAR:
```
Li3ReC
1.0
-2.927 -2.160 -1.233
1.420 0.112 -3.567
2.042 -3.174 0.713
C Re Li
1 1 3
direct
0.000 0.000 0.000 C
0.500 0.500 0.500 Re
0.500 0.000 0.000 Li
0.000 0.000 0.500 Li
0.000 0.500 0.000 Li
```

Output
Polymorph energy (0 for the lowest one) ... 0.00 kJ per mole of atoms


Below is a relaxed YSiSbOs2 crystal, with properties calculated at the GGA-PBE level.

Geometry as POSCAR:
```
YSiSbOs2
1.0
4.962 0.000 0.000
0.000 5.050 0.000
0.000 0.000 4.962
Os Si Sb Y
2 1 1 1
direct
0.000 0.000 0.500 Os
0.500 0.000 0.000 Os
0.000 0.500 0.000 Si
0.500 0.500 0.500 Sb
0.000 0.000 0.000 Y
```

Output
Formation energy from raw total energies ... 2.214 eV/atom


Size of the total moment (μB per formula unit)
0.00, 0.01, 0.00, 0.00, 6.40, 0.00, 0.00, 0.00